Crystalline TmAl2Rh at its relaxed geometry. Source: Alexandria via LeMat-Bulk, functional PBE.

Cell lengths 5.491, 7.179, 14.938 Å; angles 90.00, 90.00, 90.00 degrees
Atoms (fractional coordinates):
Tm 0.459 0.250 0.138
Tm 0.959 0.750 0.362
Tm 0.541 0.750 0.862
Tm 0.041 0.250 0.638
Tm 0.737 0.250 0.399
Tm 0.237 0.750 0.101
Tm 0.263 0.750 0.601
Tm 0.763 0.250 0.899
Al 0.936 0.050 0.212
Al 0.436 0.950 0.288
Al 0.064 0.550 0.788
Al 0.564 0.450 0.712
Al 0.064 0.950 0.788
Al 0.564 0.050 0.712
Al 0.936 0.450 0.212
Al 0.436 0.550 0.288
Al 0.751 0.558 0.041
Al 0.251 0.442 0.459
Al 0.249 0.058 0.959
Al 0.749 0.942 0.541
Al 0.249 0.442 0.959
Al 0.749 0.558 0.541
Al 0.751 0.942 0.041
Al 0.251 0.058 0.459
Rh 0.204 0.250 0.312
Rh 0.704 0.750 0.188
Rh 0.796 0.750 0.688
Rh 0.296 0.250 0.812
Rh 0.986 0.250 0.072
Rh 0.486 0.750 0.428
Rh 0.014 0.750 0.928
Rh 0.514 0.250 0.572

Properties
* final energy: -181.26 eV for the cell shown
* volume: 18.4 A^3/atom

Crystalline TmAl2Rh at its relaxed geometry. Source: Alexandria via LeMat-Bulk, functional PBE.

Cell lengths 3.112, 3.112, 7.281 Å; angles 90.00, 90.00, 90.00 degrees
Site moments in Bohr magnetons follow the coordinates.
Atoms (fractional coordinates):
Tm 0.500 0.500 0.500  0.06
Rh 0.500 0.500 0.000  0.00
Al 0.000 0.000 0.806  0.00
Al 0.000 0.000 0.194  0.00

Properties
* final energy: -21.98 eV for the cell shown
* volume: 17.6 A^3/atom

Crystalline Tm2AlRh at its relaxed geometry. Source: Alexandria via LeMat-Bulk, functional PBE.

Cell lengths 3.483, 3.483, 6.916 Å; angles 90.00, 90.00, 90.00 degrees
Atoms (fractional coordinates):
Tm 0.000 0.000 0.768
Tm 0.000 0.000 0.232
Rh 0.500 0.500 0.000
Al 0.500 0.500 0.500

Properties
* ΔE to the lowest computed polymorph: 0.0 meV/atom
* volume: 21.0 A^3/atom

Crystalline Tm4Al12Rh at its relaxed geometry. Source: Alexandria via LeMat-Bulk, functional PBE.

Cell lengths 7.430, 7.430, 7.430 Å; angles 109.47, 109.47, 109.47 degrees
Atoms (fractional coordinates):
Tm 0.000 0.000 0.500
Tm 0.500 0.000 0.000
Tm 0.500 0.500 0.500
Tm 0.000 0.500 0.000
Al 0.000 0.287 0.287
Al 0.000 0.713 0.713
Al 0.713 0.713 0.000
Al 0.287 0.287 0.000
Al 0.287 0.000 0.287
Al 0.713 0.000 0.713
Al 0.500 0.250 0.750
Al 0.500 0.750 0.250
Al 0.750 0.250 0.500
Al 0.250 0.750 0.500
Al 0.750 0.500 0.250
Al 0.250 0.500 0.750
Rh 0.000 0.000 0.000

Properties
* final energy: -79.17 eV for the cell shown
* volume: 18.6 A^3/atom

Crystalline Tm2AlRh3 at its relaxed geometry. Source: Alexandria via LeMat-Bulk, functional PBE.

Cell lengths 4.379, 5.299, 5.988 Å; angles 116.26, 111.45, 90.00 degrees
Atoms (fractional coordinates):
Tm 0.683 0.183 0.367
Tm 0.317 0.817 0.633
Al 0.000 0.500 0.000
Rh 0.364 0.364 0.728
Rh 0.000 0.000 0.000
Rh 0.636 0.636 0.272

Properties
* ΔE to the lowest computed polymorph: 345.4 meV/atom
* volume: 19.0 A^3/atom

Crystalline YTmAlRh at its relaxed geometry. Source: Alexandria via LeMat-Bulk, functional PBE.

Cell lengths 4.964, 4.964, 4.964 Å; angles 60.00, 60.00, 60.00 degrees
Atoms (fractional coordinates):
Y 0.750 0.750 0.750
Tm 0.250 0.250 0.250
Rh 0.000 0.000 0.000
Al 0.500 0.500 0.500

Properties
* final energy: -24.37 eV for the cell shown
* volume: 21.6 A^3/atom

Crystalline Tm2AlZn2Rh5 at its relaxed geometry. Source: Alexandria via LeMat-Bulk, functional PBE.

Cell lengths 3.407, 9.797, 9.797 Å; angles 90.00, 90.00, 90.00 degrees
Atoms (fractional coordinates):
Tm 0.000 0.671 0.171
Tm 0.000 0.329 0.829
Tm 0.000 0.171 0.329
Tm 0.000 0.829 0.671
Al 0.000 0.000 0.000
Al 0.000 0.500 0.500
Zn 0.000 0.129 0.629
Zn 0.000 0.871 0.371
Zn 0.000 0.629 0.871
Zn 0.000 0.371 0.129
Rh 0.500 0.196 0.063
Rh 0.500 0.804 0.937
Rh 0.500 0.063 0.804
Rh 0.500 0.696 0.437
Rh 0.500 0.937 0.196
Rh 0.500 0.304 0.563
Rh 0.500 0.563 0.696
Rh 0.500 0.437 0.304
Rh 0.500 0.500 0.000
Rh 0.500 0.000 0.500

Properties
* final energy: -117.90 eV for the cell shown
* volume: 16.4 A^3/atom

Crystalline Tm2Al2ZnRh5 at its relaxed geometry. Source: Alexandria via LeMat-Bulk, functional PBE.

Cell lengths 3.372, 9.865, 9.865 Å; angles 90.00, 90.00, 90.00 degrees
Atoms (fractional coordinates):
Tm 0.000 0.673 0.173
Tm 0.000 0.327 0.827
Tm 0.000 0.173 0.327
Tm 0.000 0.827 0.673
Al 0.000 0.127 0.627
Al 0.000 0.873 0.373
Al 0.000 0.627 0.873
Al 0.000 0.373 0.127
Zn 0.000 0.000 0.000
Zn 0.000 0.500 0.500
Rh 0.500 0.203 0.066
Rh 0.500 0.797 0.934
Rh 0.500 0.066 0.797
Rh 0.500 0.703 0.434
Rh 0.500 0.934 0.203
Rh 0.500 0.297 0.566
Rh 0.500 0.566 0.703
Rh 0.500 0.434 0.297
Rh 0.500 0.500 0.000
Rh 0.500 0.000 0.500

Properties
* final energy: -125.23 eV for the cell shown
* volume: 16.4 A^3/atom

Crystalline TmZrAlRh at its relaxed geometry. Source: Alexandria via LeMat-Bulk, functional PBE.

Cell lengths 4.829, 4.829, 4.829 Å; angles 60.00, 60.00, 60.00 degrees
Atoms (fractional coordinates):
Tm 0.500 0.500 0.500
Rh 0.750 0.750 0.750
Al 0.250 0.250 0.250
Zr 0.000 0.000 0.000

Properties
* final energy: -26.14 eV for the cell shown
* volume: 19.9 A^3/atom

Crystalline UAlRh at its relaxed geometry. Source: Alexandria via LeMat-Bulk, functional PBE.

Cell lengths 2.949, 4.529, 7.713 Å; angles 90.00, 101.02, 90.00 degrees
Atoms (fractional coordinates):
Rh 0.437 0.250 0.874
Rh 0.563 0.750 0.126
Al 0.920 0.750 0.840
Al 0.080 0.250 0.160
U 0.774 0.250 0.549
U 0.226 0.750 0.451

Properties
* final energy: -47.63 eV for the cell shown
* volume: 16.9 A^3/atom

Crystalline UAlRh at its relaxed geometry. Source: Alexandria via LeMat-Bulk, functional PBE.

Cell lengths 2.972, 2.972, 6.264 Å; angles 103.72, 103.72, 90.00 degrees
Site moments in Bohr magnetons follow the coordinates.
Atoms (fractional coordinates):
Rh 0.685 0.685 0.370  0.02
U 0.006 0.006 0.012  1.70
Al 0.309 0.309 0.618  -0.01

Properties
* final energy: -23.78 eV for the cell shown
* volume: 17.4 A^3/atom

Crystalline U2AlRh9 at its relaxed geometry. Source: Alexandria via LeMat-Bulk, functional PBE.

Cell lengths 3.986, 3.986, 11.742 Å; angles 90.00, 90.00, 90.00 degrees
Atoms (fractional coordinates):
U 0.000 0.000 0.325
U 0.000 0.000 0.675
Al 0.000 0.000 0.000
Rh 0.500 0.500 0.000
Rh 0.500 0.500 0.329
Rh 0.500 0.500 0.671
Rh 0.500 0.000 0.159
Rh 0.500 0.000 0.500
Rh 0.500 0.000 0.841
Rh 0.000 0.500 0.159
Rh 0.000 0.500 0.500
Rh 0.000 0.500 0.841

Properties
* final energy: -99.73 eV for the cell shown
* volume: 15.5 A^3/atom

Crystalline UAl10Rh2 at its relaxed geometry. Source: Alexandria via LeMat-Bulk, functional PBE.

Cell lengths 6.834, 6.834, 9.165 Å; angles 90.00, 90.00, 97.65 degrees
Site moments in Bohr magnetons follow the coordinates.
Atoms (fractional coordinates):
U 0.881 0.119 0.750  2.45
U 0.119 0.881 0.250  2.45
Al 0.402 0.138 0.750  0.00
Al 0.598 0.862 0.250  0.00
Al 0.862 0.598 0.750  0.00
Al 0.138 0.402 0.250  0.00
Al 0.523 0.775 0.750  0.00
Al 0.477 0.225 0.250  0.00
Al 0.225 0.477 0.750  0.00
Al 0.775 0.523 0.250  0.00
Al 0.844 0.156 0.399  0.00
Al 0.156 0.844 0.899  0.00
Al 0.844 0.156 0.101  0.00
Al 0.156 0.844 0.601  0.00
Al 0.622 0.378 0.943  0.00
Al 0.378 0.622 0.443  0.00
Al 0.622 0.378 0.557  0.00
Al 0.378 0.622 0.057  0.00
Al 0.781 0.781 0.000  0.01
Al 0.219 0.219 0.500  0.01
Al 0.219 0.219 0.000  0.01
Al 0.781 0.781 0.500  0.01
Rh 0.500 0.000 0.000  0.06
Rh 0.500 0.000 0.500  0.06
Rh 0.000 0.500 0.500  0.06
Rh 0.000 0.500 0.000  0.06

Properties
* final energy: -138.69 eV for the cell shown
* volume: 16.3 A^3/atom

Crystalline UAlRh at its relaxed geometry. Source: Alexandria via LeMat-Bulk, functional PBE.

Cell lengths 6.808, 6.808, 4.181 Å; angles 90.00, 90.00, 120.00 degrees
Site moments in Bohr magnetons follow the coordinates.
Atoms (fractional coordinates):
U 0.574 0.000 0.500  1.94
U 0.426 0.426 0.500  1.94
U 0.000 0.574 0.500  1.94
Al 0.234 0.000 0.000  -0.01
Al 0.766 0.766 0.000  -0.01
Al 0.000 0.234 0.000  -0.01
Rh 0.000 0.000 0.500  -0.09
Rh 0.333 0.667 0.000  -0.13
Rh 0.667 0.333 0.000  -0.13

Properties
* final energy: -72.21 eV for the cell shown
* volume: 18.6 A^3/atom

Crystalline UAlRh5 at its relaxed geometry. Source: Alexandria via LeMat-Bulk, functional PBE.

Cell lengths 4.082, 4.082, 6.751 Å; angles 90.00, 90.00, 90.00 degrees
Atoms (fractional coordinates):
U 0.000 0.000 0.500
Al 0.500 0.500 0.000
Rh 0.000 0.500 0.781
Rh 0.000 0.500 0.219
Rh 0.500 0.000 0.781
Rh 0.500 0.000 0.219
Rh 0.500 0.500 0.500

Properties
* final energy: -55.64 eV for the cell shown
* volume: 16.1 A^3/atom

Crystalline Al3VRh2 at its relaxed geometry. Source: Alexandria via LeMat-Bulk, functional PBE.

Cell lengths 2.942, 2.942, 9.614 Å; angles 90.00, 90.00, 90.00 degrees
Atoms (fractional coordinates):
Al 0.000 0.000 0.000
Al 0.000 0.000 0.681
Al 0.000 0.000 0.319
V 0.500 0.500 0.500
Rh 0.500 0.500 0.841
Rh 0.500 0.500 0.159

Properties
* final energy: -39.64 eV for the cell shown
* volume: 13.9 A^3/atom

Crystalline Al4VRh5 at its relaxed geometry. Source: Alexandria via LeMat-Bulk, functional PBE.

Cell lengths 2.926, 2.926, 15.889 Å; angles 90.00, 90.00, 90.00 degrees
Site moments in Bohr magnetons follow the coordinates.
Atoms (fractional coordinates):
Al 0.000 0.000 0.206  0.00
Al 0.000 0.000 0.402  0.00
Al 0.000 0.000 0.598  0.00
Al 0.000 0.000 0.794  0.00
V 0.000 0.000 0.000  0.33
Rh 0.500 0.500 0.110  -0.01
Rh 0.500 0.500 0.307  0.00
Rh 0.500 0.500 0.500  0.00
Rh 0.500 0.500 0.693  0.00
Rh 0.500 0.500 0.890  -0.01

Properties
* final energy: -70.18 eV for the cell shown
* volume: 13.6 A^3/atom

Crystalline AlVRh3 at its relaxed geometry. Source: Alexandria via LeMat-Bulk, functional PBE.

Cell lengths 4.469, 4.469, 4.469 Å; angles 90.00, 90.00, 90.00 degrees
Atoms (fractional coordinates):
Rh 0.000 0.500 0.000
Rh 0.000 0.000 0.500
Rh 0.500 0.000 0.000
Al 0.500 0.500 0.500
V 0.000 0.000 0.000

Properties
* ΔE to the lowest computed polymorph: 21.5 meV/atom
* volume: 17.8 A^3/atom

Crystalline AlVRh5 at its relaxed geometry. Source: Alexandria via LeMat-Bulk, functional PBE.

Cell lengths 3.957, 3.957, 6.565 Å; angles 90.00, 90.00, 90.00 degrees
Atoms (fractional coordinates):
Al 0.500 0.500 0.000
V 0.000 0.000 0.500
Rh 0.000 0.500 0.771
Rh 0.000 0.500 0.229
Rh 0.500 0.000 0.771
Rh 0.500 0.000 0.229
Rh 0.500 0.500 0.500

Properties
* final energy: -51.89 eV for the cell shown
* volume: 14.7 A^3/atom

Crystalline AlV2Rh6 at its relaxed geometry. Source: Alexandria via LeMat-Bulk, functional PBE.

Cell lengths 4.048, 5.766, 7.016 Å; angles 114.26, 106.76, 90.00 degrees
Atoms (fractional coordinates):
Al 0.000 0.000 0.000
V 0.664 0.664 0.329
V 0.336 0.336 0.671
Rh 0.168 0.418 0.335
Rh 0.832 0.083 0.665
Rh 0.832 0.582 0.665
Rh 0.500 0.252 0.000
Rh 0.168 0.917 0.335
Rh 0.500 0.748 0.000

Properties
* final energy: -68.13 eV for the cell shown
* volume: 15.7 A^3/atom